# K2BeSnBr (GGA-PBE, relaxed)
# - Total energy: -10.0 eV per cell
# - N(E_F): 4.37 states/eV/cell
# - Volume: 43.1 Å³ per atom
# - ΔE_f (raw): 314 meV per atom
# - Symmetry: P4/mmm
data_K2BeSnBr
_chemical_formula_sum 'K2 Be1 Sn1 Br1'
_cell_length_a 6.059
_cell_length_b 5.868
_cell_length_c 6.059
_cell_angle_alpha 90.00
_cell_angle_beta 90.00
_cell_angle_gamma 90.00
_symmetry_space_group_name_H-M 'P 1'
_symmetry_Int_Tables_number 1
_symmetry_space_group_name_Hall 'P 1'
loop_
_atom_site_label
_atom_site_type_symbol
_atom_site_fract_x
_atom_site_fract_y
_atom_site_fract_z
Sn1 Sn 0.000 0.500 0.000
K1 K 0.500 0.000 0.000
K2 K 0.000 0.000 0.500
Be1 Be 0.500 0.500 0.500
Br1 Br 0.000 0.000 0.000